# CaReIr

A relaxed structure of CaReIr (PBE, Alexandria).

The structure in POSCAR format:
```
CaReIr
1.0
0.000 3.136 3.136
3.136 0.000 3.136
3.136 3.136 0.000
Ca Re Ir
1 1 1
Direct
0.750 0.750 0.750
0.250 0.250 0.250
0.500 0.500 0.500
```

Computed properties:
Symmetry: F-43m (216)
Energy of formation from the pure elements in eV/atom: 0.618
Energy in eV per cell: -21.5


# CaReIrRu2

A relaxed structure of CaReIrRu2 (PBE, Alexandria).

The structure in POSCAR format:
```
CaReIrRu2
1.0
-0.275 -1.887 4.381
4.744 -0.076 0.265
-0.035 4.388 1.888
Re Ir Ru Ca
1 1 2 1
Direct
0.000 0.500 0.000
0.000 0.000 0.000
0.000 0.000 0.500
0.500 0.000 0.000
0.500 0.500 0.500
```

Computed properties:
Symmetry: P4/mmm (123)
Energy of formation from the pure elements in eV/atom: 1.312
Energy in eV per cell: -35.3


# Ca2ZnReIr

A relaxed structure of Ca2ZnReIr (PBE, Alexandria).

The structure in POSCAR format:
```
Ca2ZnReIr
1.0
-0.614 -4.942 -2.477
3.591 -1.672 2.447
-3.487 -1.588 4.032
Ca Re Zn Ir
2 1 1 1
Direct
0.500 0.000 0.000
0.000 0.000 0.500
0.000 0.000 0.000
0.500 0.500 0.500
0.000 0.500 0.000
```

Computed properties:
Symmetry: P4/mmm (123)
Energy of formation from the pure elements in eV/atom: 0.748
Energy in eV per cell: -22.8


# CaIrRh3

A relaxed structure of CaIrRh3 (PBE, Alexandria).

The structure in POSCAR format:
```
CaIrRh3
1.0
-4.720 0.756 -0.152
-0.008 -0.992 -4.678
-0.771 -4.617 0.981
Ir Rh Ca
1 3 1
Direct
0.000 0.000 0.000
0.000 0.000 0.500
0.500 0.000 0.000
0.000 0.500 0.000
0.500 0.500 0.500
```

Computed properties:
Symmetry: Pm-3m (221)
Energy of formation from the pure elements in eV/atom: 0.606
Energy in eV per cell: -29.9


# CaIr2Rh

A relaxed structure of CaIr2Rh (PBE, Alexandria).

The structure in POSCAR format:
```
CaIr2Rh
1.0
-3.902 1.278 -2.839
-3.161 -1.310 -3.634
-3.676 -1.897 2.752
Ir Rh Ca
2 1 1
Direct
0.010 0.010 0.970
0.490 0.490 0.530
0.750 0.750 0.750
0.250 0.250 0.250
```

Computed properties:
Symmetry: C2/m (12)
Energy of formation from the pure elements in eV/atom: -0.015
Energy in eV per cell: -27.1


# CaIr2Rh

A relaxed structure of CaIr2Rh (PBE, Alexandria).

The structure in POSCAR format:
```
CaIr2Rh
1.0
-2.719 3.295 1.609
-3.610 1.372 -2.434
-4.222 -1.011 1.412
Ir Ca Rh
2 1 1
Direct
0.000 0.000 0.000
0.250 0.250 0.250
0.500 0.500 0.500
0.750 0.750 0.750
```

Computed properties:
Symmetry: F-43m (216)
Energy of formation from the pure elements in eV/atom: 0.257
Energy in eV per cell: -26.0


# Ca3IrRh

A relaxed structure of Ca3IrRh (PBE, Alexandria).

The structure in POSCAR format:
```
Ca3IrRh
1.0
5.314 0.000 0.000
0.000 5.314 0.000
0.000 0.000 5.314
Ir Rh Ca
1 1 3
Direct
0.000 0.000 0.000
0.500 0.500 0.500
0.500 0.000 0.000
0.000 0.000 0.500
0.000 0.500 0.000
```

Computed properties:
Symmetry: Pm-3m (221)
Energy of formation from the pure elements in eV/atom: 0.226
Energy in eV per cell: -21.1


# CaIr2Rh

A relaxed structure of CaIr2Rh (PBE, Alexandria).

The structure in POSCAR format:
```
CaIr2Rh
1.0
-0.843 -4.208 -2.086
1.208 -2.242 4.035
-2.755 0.112 0.887
Ca Ir Rh
1 2 1
Direct
0.000 0.500 0.500
0.000 0.000 0.000
0.500 0.500 0.000
0.500 0.000 0.500
```

Computed properties:
Symmetry: P4/mmm (123)
Energy of formation from the pure elements in eV/atom: 0.207
Energy in eV per cell: -26.2


# CaIr2Rh

A relaxed structure of CaIr2Rh (PBE, Alexandria).

The structure in POSCAR format:
```
CaIr2Rh
1.0
0.000 3.220 3.220
3.220 0.000 3.220
3.220 3.220 0.000
Ir Rh Ca
2 1 1
Direct
0.750 0.750 0.750
0.250 0.250 0.250
0.500 0.500 0.500
0.000 0.000 0.000
```

Computed properties:
Symmetry: Fm-3m (225)
Energy of formation from the pure elements in eV/atom: 0.356
Energy in eV per cell: -25.7


# Ca2IrRh

A relaxed structure of Ca2IrRh (PBE, Alexandria).

The structure in POSCAR format:
```
Ca2IrRh
1.0
-3.431 -0.543 0.459
0.190 -2.876 -1.993
1.596 -4.486 6.627
Ca Ir Rh
2 1 1
Direct
0.500 0.500 0.332
0.000 0.000 0.919
0.000 0.000 0.574
0.500 0.500 0.675
```

Computed properties:
Symmetry: P4mm (99)
Energy of formation from the pure elements in eV/atom: -0.009
Energy in eV per cell: -20.3


# CaIr2Rh

A relaxed structure of CaIr2Rh (PBE, Alexandria).

The structure in POSCAR format:
```
CaIr2Rh
1.0
-1.642 2.036 1.139
-2.281 -1.695 -0.260
1.413 -3.050 7.486
Ir Rh Ca
2 1 1
Direct
0.000 0.000 0.033
0.500 0.500 0.250
0.000 0.000 0.468
0.500 0.500 0.749
```

Computed properties:
Symmetry: P4mm (99)
Energy of formation from the pure elements in eV/atom: 0.017
Energy in eV per cell: -27.0


# CaIr2Rh

A relaxed structure of CaIr2Rh (PBE, Alexandria).

The structure in POSCAR format:
```
CaIr2Rh
1.0
-3.892 2.434 3.480
-5.409 1.101 -1.647
4.321 -3.660 1.059
Ca Ir Rh
1 2 1
Direct
0.250 0.750 0.500
0.971 0.971 0.000
0.752 0.252 0.500
0.527 0.527 0.000
```

Computed properties:
Symmetry: Imm2 (44)
Energy of formation from the pure elements in eV/atom: 0.069
Energy in eV per cell: -26.8


What is the energy in the second record? -35.3 eV per cell